*1*
A relaxed RbAgSnSe3 crystal, computed with PBE.

Cell: 11.6968 4.4020 13.2754 Å, 90.00 90.00 90.00°
Last column: nearest neighbours and their distance in Å.
Positions (direct):
Se (0.2158, 0.0000, 0.9563)  1 Ag 2.54, 2 Sn 2.82
Se (0.7747, 0.0000, 0.8200)  2 Ag 2.55, 1 Sn 2.62
Se (0.2253, 0.5000, 0.1800)  2 Ag 2.55, 1 Sn 2.62
Se (0.7842, 0.5000, 0.0437)  1 Ag 2.54, 2 Sn 2.82
Se (0.5196, 0.5000, 0.8826)  1 Sn 2.66
Se (0.9804, 0.5000, 0.3826)  1 Sn 2.66
Se (0.2842, 0.0000, 0.4563)  1 Ag 2.54, 2 Sn 2.82
Se (0.2747, 0.5000, 0.6800)  2 Ag 2.55, 1 Sn 2.62
Se (0.0196, 0.0000, 0.6174)  1 Sn 2.66
Se (0.7158, 0.5000, 0.5437)  1 Ag 2.54, 2 Sn 2.82
Se (0.4804, 0.0000, 0.1174)  1 Sn 2.66
Se (0.7253, 0.0000, 0.3200)  2 Ag 2.55, 1 Sn 2.62
Rb (0.4980, 0.5000, 0.3422)  8 Se 3.46-3.85, 3 Ag 3.54-3.56
Rb (0.0020, 0.5000, 0.8422)  8 Se 3.46-3.85, 3 Ag 3.54-3.56
Rb (0.9980, 0.0000, 0.1578)  8 Se 3.46-3.85, 3 Ag 3.54-3.56
Rb (0.5020, 0.0000, 0.6578)  8 Se 3.46-3.85, 3 Ag 3.54-3.56
Ag (0.7225, 0.5000, 0.7352)  3 Se 2.54-2.55
Ag (0.2225, 0.0000, 0.7648)  3 Se 2.54-2.55
Ag (0.2775, 0.0000, 0.2648)  3 Se 2.54-2.55
Ag (0.7775, 0.5000, 0.2352)  3 Se 2.54-2.55
Sn (0.8503, 0.0000, 0.4836)  4 Se 2.62-2.82
Sn (0.3503, 0.5000, 0.0164)  4 Se 2.62-2.82
Sn (0.1497, 0.5000, 0.5164)  4 Se 2.62-2.82
Sn (0.6497, 0.0000, 0.9836)  4 Se 2.62-2.82

Summary:
V	170.9	Å³/f.u.



*2*
A relaxed RbAgSnSe3 crystal, computed with PBE.

Cell: 8.9395 4.1615 9.8933 Å, 90.00 108.41 90.00°
Last column: nearest neighbours and their distance in Å.
Positions (direct):
Ag (0.5572, 0.2500, 0.0947)  4 Se 2.67-2.76, 2 Ag 2.77
Ag (0.4428, 0.7500, 0.9053)  4 Se 2.67-2.76, 2 Ag 2.77
Se (0.0413, 0.2500, 0.3570)  3 Sn 2.69-2.86
Se (0.2480, 0.2500, 0.9263)  1 Sn 2.69, 3 Ag 2.74-2.76
Se (0.7520, 0.7500, 0.0737)  1 Sn 2.69, 3 Ag 2.74-2.76
Se (0.3775, 0.7500, 0.6225)  1 Ag 2.67, 2 Sn 2.79
Se (0.9587, 0.7500, 0.6430)  3 Sn 2.69-2.86
Se (0.6225, 0.2500, 0.3775)  1 Ag 2.67, 2 Sn 2.79
Rb (0.7279, 0.2500, 0.7778)  7 Se 3.48-3.77, 3 Ag 3.80-3.90
Rb (0.2721, 0.7500, 0.2222)  7 Se 3.48-3.77, 3 Ag 3.80-3.90
Sn (0.8226, 0.7500, 0.3589)  6 Se 2.69-2.86
Sn (0.1774, 0.2500, 0.6411)  6 Se 2.69-2.86

Summary:
V	174.6	Å³/f.u.



*3*
A relaxed RbAgSnSe3 crystal, computed with PBE.

Cell: 7.9531 7.9531 11.0358 Å, 90.00 90.00 150.70°
Last column: nearest neighbours and their distance in Å.
Positions (direct):
Se (0.0544, 0.9456, 0.2500)  2 Ag 2.69, 2 Sn 2.88
Se (0.6243, 0.3757, 0.5300)  1 Ag 2.61, 2 Sn 2.80
Se (0.3757, 0.6243, 0.0300)  1 Ag 2.61, 2 Sn 2.80
Se (0.6243, 0.3757, 0.9700)  1 Ag 2.61, 2 Sn 2.80
Se (0.3757, 0.6243, 0.4700)  1 Ag 2.61, 2 Sn 2.80
Se (0.9456, 0.0544, 0.7500)  2 Ag 2.69, 2 Sn 2.88
Rb (0.7409, 0.2591, 0.2500)  8 Se 3.50-3.77, 2 Ag 3.64
Rb (0.2591, 0.7409, 0.7500)  8 Se 3.50-3.77, 2 Ag 3.64
Ag (0.5622, 0.4378, 0.7500)  4 Se 2.61-2.69
Ag (0.4378, 0.5622, 0.2500)  4 Se 2.61-2.69
Sn (0.0000, 0.0000, 0.5000)  6 Se 2.80-2.88
Sn (0.0000, 0.0000, 0.0000)  6 Se 2.80-2.88

Summary:
V	170.8	Å³/f.u.



Q: Which of them is the most stable? A: *2*.



*1*
A relaxed RbTcAgSe3 crystal, computed with PBE.

Cell: 13.6422 3.8490 11.1852 Å, 90.00 90.00 90.00°
Last column: nearest neighbours and their distance in Å.
Positions (direct):
Ag (0.7640, 0.7500, 0.7170)  3 Se 2.54-2.59
Ag (0.2640, 0.7500, 0.7830)  3 Se 2.54-2.59
Ag (0.7360, 0.2500, 0.2170)  3 Se 2.54-2.59
Ag (0.2360, 0.2500, 0.2830)  3 Se 2.54-2.59
Se (0.3633, 0.7500, 0.2850)  2 Ag 2.59, 1 Tc 2.63
Se (0.6265, 0.7500, 0.9809)  3 Tc 2.41-2.54
Se (0.5499, 0.2500, 0.2295)  1 Ag 2.54, 2 Tc 2.63
Se (0.8735, 0.2500, 0.4809)  3 Tc 2.41-2.54
Se (0.0499, 0.2500, 0.2705)  1 Ag 2.54, 2 Tc 2.63
Se (0.1265, 0.7500, 0.5191)  3 Tc 2.41-2.54
Se (0.3735, 0.2500, 0.0191)  3 Tc 2.41-2.54
Se (0.8633, 0.7500, 0.2150)  2 Ag 2.59, 1 Tc 2.63
Se (0.9501, 0.7500, 0.7295)  1 Ag 2.54, 2 Tc 2.63
Se (0.6367, 0.2500, 0.7150)  2 Ag 2.59, 1 Tc 2.63
Se (0.1367, 0.2500, 0.7850)  2 Ag 2.59, 1 Tc 2.63
Se (0.4501, 0.7500, 0.7705)  1 Ag 2.54, 2 Tc 2.63
Rb (0.1396, 0.7500, 0.0458)  6 Se 3.39-3.74, 3 Ag 3.39-3.53
Rb (0.6396, 0.7500, 0.4542)  6 Se 3.39-3.74, 3 Ag 3.39-3.53
Rb (0.8604, 0.2500, 0.9542)  6 Se 3.39-3.74, 3 Ag 3.39-3.53
Rb (0.3604, 0.2500, 0.5458)  6 Se 3.39-3.74, 3 Ag 3.39-3.53
Tc (0.5228, 0.2500, 0.9044)  6 Se 2.41-2.63
Tc (0.9772, 0.7500, 0.4044)  6 Se 2.41-2.63
Tc (0.4772, 0.7500, 0.0956)  6 Se 2.41-2.63
Tc (0.0228, 0.2500, 0.5956)  6 Se 2.41-2.63

Summary:
V	146.8	Å³/f.u.



*2*
A relaxed RbTcAgSe3 crystal, computed with PBE.

Cell: 8.6274 3.8813 10.1903 Å, 90.00 112.97 90.00°
Last column: nearest neighbours and their distance in Å.
Positions (direct):
Se (0.9669, 0.7500, 0.1248)  3 Tc 2.58-2.61
Se (0.0331, 0.2500, 0.8752)  3 Tc 2.58-2.61
Se (0.3683, 0.7500, 0.1203)  1 Ag 2.59, 2 Tc 2.62
Se (0.2280, 0.2500, 0.4166)  1 Tc 2.59, 3 Ag 2.70-2.81
Se (0.6317, 0.2500, 0.8797)  1 Ag 2.59, 2 Tc 2.62
Se (0.7720, 0.7500, 0.5834)  1 Tc 2.59, 3 Ag 2.70-2.81
Tc (0.8206, 0.7500, 0.8506)  6 Se 2.58-2.62
Tc (0.1794, 0.2500, 0.1494)  6 Se 2.58-2.62
Ag (0.4329, 0.7500, 0.3912)  4 Se 2.59-2.81, 2 Ag 2.83
Ag (0.5671, 0.2500, 0.6088)  4 Se 2.59-2.81, 2 Ag 2.83
Rb (0.7457, 0.2500, 0.2774)  8 Se 3.48-3.84, 2 Ag 3.85, 2 Rb 3.88
Rb (0.2543, 0.7500, 0.7226)  8 Se 3.48-3.84, 2 Ag 3.85, 2 Rb 3.88

Summary:
V	157.1	Å³/f.u.



*3*
A relaxed RbTcAgSe3 crystal, computed with PBE.

Cell: 8.0660 8.0660 10.2011 Å, 90.00 90.00 27.45°
Last column: nearest neighbours and their distance in Å.
Positions (direct):
Tc (0.0000, 0.0000, 0.5000)  6 Se 2.62-2.76
Tc (0.0000, 0.0000, 0.0000)  6 Se 2.62-2.76
Ag (0.5463, 0.5463, 0.2500)  4 Se 2.55-2.61
Ag (0.4537, 0.4537, 0.7500)  4 Se 2.55-2.61
Se (0.3863, 0.3863, 0.5222)  1 Ag 2.55, 2 Tc 2.62
Se (0.6137, 0.6137, 0.4778)  1 Ag 2.55, 2 Tc 2.62
Se (0.6137, 0.6137, 0.0222)  1 Ag 2.55, 2 Tc 2.62
Se (0.0667, 0.0667, 0.7500)  2 Ag 2.61, 2 Tc 2.76
Se (0.3863, 0.3863, 0.9778)  1 Ag 2.55, 2 Tc 2.62
Se (0.9333, 0.9333, 0.2500)  2 Ag 2.61, 2 Tc 2.76
Rb (0.2431, 0.2431, 0.2500)  8 Se 3.54-3.63, 2 Ag 3.63, 2 Rb 3.83
Rb (0.7569, 0.7569, 0.7500)  8 Se 3.54-3.63, 2 Ag 3.63, 2 Rb 3.83

Summary:
V	153.0	Å³/f.u.



Q: Which of them is the most stable? A: *1*.



*1*
A relaxed RbZrAgTe2Se crystal, computed with PBE.

Cell: 8.9182 4.1974 10.7487 Å, 90.00 111.54 90.00°
Last column: nearest neighbours and their distance in Å.
Positions (direct):
Te (0.5894, 0.2500, 0.3683)  1 Ag 2.78, 2 Zr 2.94
Te (0.0471, 0.2500, 0.3696)  3 Zr 2.97-3.04
Te (0.4106, 0.7500, 0.6317)  1 Ag 2.78, 2 Zr 2.94
Te (0.9529, 0.7500, 0.6304)  3 Zr 2.97-3.04
Se (0.2486, 0.2500, 0.9306)  1 Zr 2.64, 3 Ag 2.74-2.82
Se (0.7514, 0.7500, 0.0694)  1 Zr 2.64, 3 Ag 2.74-2.82
Zr (0.2022, 0.2500, 0.6732)  1 Se 2.64, 2 Te 2.94
Zr (0.7978, 0.7500, 0.3268)  1 Se 2.64, 2 Te 2.94
Rb (0.7684, 0.2500, 0.8123)  2 Se 3.52, 4 Te 3.65-3.72
Rb (0.2316, 0.7500, 0.1877)  2 Se 3.52, 4 Te 3.65-3.72
Ag (0.5741, 0.2500, 0.1053)  3 Se 2.74-2.82, 1 Te 2.78, 2 Ag 3.01
Ag (0.4259, 0.7500, 0.8947)  3 Se 2.74-2.82, 1 Te 2.78, 2 Ag 3.01

Summary:
V	187.1	Å³/f.u.



*2*
A relaxed RbZrAgTe2Se crystal, computed with PBE.

Cell: 8.3782 8.3782 10.7841 Å, 90.00 90.00 151.06°
Last column: nearest neighbours and their distance in Å.
Positions (direct):
Zr (0.5000, 0.5000, 0.5000)  2 Se 2.87, 4 Te 2.96
Zr (0.5000, 0.5000, 0.0000)  2 Se 2.87, 4 Te 2.96
Ag (0.0384, 0.9616, 0.2500)  2 Se 2.64, 2 Te 2.73
Ag (0.9616, 0.0384, 0.7500)  2 Se 2.64, 2 Te 2.73
Te (0.1271, 0.8729, 0.4654)  1 Ag 2.73, 2 Zr 2.96
Te (0.8729, 0.1271, 0.5346)  1 Ag 2.73, 2 Zr 2.96
Te (0.8729, 0.1271, 0.9654)  1 Ag 2.73, 2 Zr 2.96
Te (0.1271, 0.8729, 0.0346)  1 Ag 2.73, 2 Zr 2.96
Rb (0.2445, 0.7555, 0.7500)  6 Te 3.61-3.76, 2 Se 3.65
Rb (0.7555, 0.2445, 0.2500)  6 Te 3.61-3.76, 2 Se 3.65
Se (0.4396, 0.5604, 0.2500)  2 Ag 2.64, 2 Zr 2.87
Se (0.5604, 0.4396, 0.7500)  2 Ag 2.64, 2 Zr 2.87

Summary:
V	183.2	Å³/f.u.



Q: Which of them is the most stable? A: *1*.



*1*
A relaxed RbAgSn crystal, computed with PBE.

Cell: 5.5726 5.5726 5.5726 Å, 60.00 60.00 60.00°
Last column: nearest neighbours and their distance in Å.
Positions (direct):
Rb (0.0000, 0.0000, 0.0000)  4 Ag 3.41, 4 Sn 3.41
Sn (0.7500, 0.7500, 0.7500)  4 Rb 3.41
Ag (0.2500, 0.2500, 0.2500)  4 Rb 3.41

Summary:
V	122.4	Å³/f.u.



*2*
A relaxed RbAgSn crystal, computed with PBE.

Cell: 5.2964 5.2964 5.2964 Å, 60.00 60.00 60.00°
Last column: nearest neighbours and their distance in Å.
Positions (direct):
Sn (0.7500, 0.7500, 0.7500)  4 Ag 3.24
Ag (0.0000, 0.0000, 0.0000)  4 Sn 3.24, 4 Rb 3.24
Rb (0.2500, 0.2500, 0.2500)  4 Ag 3.24

Summary:
V	105.1	Å³/f.u.



*3*
A relaxed RbAgSn crystal, computed with PBE.

Cell: 5.3484 5.3484 10.5017 Å, 90.00 90.00 120.00°
Last column: nearest neighbours and their distance in Å.
Positions (direct):
Ag (0.6667, 0.3333, 0.4895)  4 Sn 3.09-3.37
Ag (0.0000, 0.0000, 0.8146)  4 Sn 3.09-3.46
Ag (0.0000, 0.0000, 0.1857)  4 Sn 3.09-3.14, 3 Rb 3.44
Rb (0.3333, 0.6667, 0.9972)  2 Rb 3.50-3.58, 6 Sn 3.56-3.57, 6 Ag 3.64-3.67
Rb (0.3333, 0.6667, 0.3308)  2 Rb 3.42-3.50, 6 Ag 3.44-3.51, 6 Sn 3.49-3.53
Rb (0.3333, 0.6667, 0.6566)  2 Rb 3.42-3.58, 6 Ag 3.51-3.55, 6 Sn 3.57-3.58
Sn (0.6667, 0.3333, 0.8280)  3 Ag 3.09
Sn (0.6667, 0.3333, 0.1686)  4 Ag 3.09-3.37
Sn (0.0000, 0.0000, 0.4849)  4 Ag 3.09-3.14

Summary:
V	86.7	Å³/f.u.



Q: Which of them is the most stable? A: *3*.



*1*
A relaxed RbZrAg3Te4 crystal, computed with PBE.

Cell: 6.6279 8.5461 10.8947 Å, 90.00 106.75 90.00°
Last column: nearest neighbours and their distance in Å.
Positions (direct):
Ag (0.2099, 0.0264, 0.9967)  2 Ag 2.84-2.96, 4 Te 2.84-2.92
Ag (0.6349, 0.7500, 0.7892)  4 Te 2.80-2.99, 2 Ag 2.96
Ag (0.2099, 0.4736, 0.9967)  2 Ag 2.84-2.96, 4 Te 2.84-2.92
Ag (0.7901, 0.9736, 0.0033)  2 Ag 2.84-2.96, 4 Te 2.84-2.92
Ag (0.3651, 0.2500, 0.2108)  4 Te 2.80-2.99, 2 Ag 2.96
Ag (0.7901, 0.5264, 0.0033)  2 Ag 2.84-2.96, 4 Te 2.84-2.92
Te (0.8851, 0.0170, 0.7602)  1 Zr 2.79, 3 Ag 2.84-2.92
Te (0.2786, 0.7500, 0.5756)  1 Zr 2.71, 1 Ag 2.80
Te (0.1149, 0.5170, 0.2398)  1 Zr 2.79, 3 Ag 2.84-2.92
Te (0.5327, 0.2500, 0.9832)  1 Zr 2.83, 5 Ag 2.89-2.99
Te (0.8851, 0.4830, 0.7602)  1 Zr 2.79, 3 Ag 2.84-2.92
Te (0.7214, 0.2500, 0.4244)  1 Zr 2.71, 1 Ag 2.80
Te (0.4673, 0.7500, 0.0168)  1 Zr 2.83, 5 Ag 2.89-2.99
Te (0.1149, 0.9830, 0.2398)  1 Zr 2.79, 3 Ag 2.84-2.92
Rb (0.6829, 0.7500, 0.3883)  7 Te 3.81-4.18
Rb (0.3171, 0.2500, 0.6117)  7 Te 3.81-4.18
Zr (0.1354, 0.7500, 0.7849)  4 Te 2.71-2.83
Zr (0.8646, 0.2500, 0.2151)  4 Te 2.71-2.83

Summary:
V	295.5	Å³/f.u.



*2*
A relaxed RbZrAg3Te4 crystal, computed with PBE.

Cell: 6.9351 6.9351 6.9351 Å, 90.00 90.00 90.00°
Last column: nearest neighbours and their distance in Å.
Positions (direct):
Te (0.7270, 0.2730, 0.7270)  1 Zr 2.73, 3 Ag 2.92
Te (0.2730, 0.7270, 0.7270)  1 Zr 2.73, 3 Ag 2.92
Te (0.7270, 0.7270, 0.2730)  1 Zr 2.73, 3 Ag 2.92
Te (0.2730, 0.2730, 0.2730)  1 Zr 2.73, 3 Ag 2.92
Ag (0.5000, 0.0000, 0.5000)  4 Te 2.92
Ag (0.0000, 0.5000, 0.5000)  4 Te 2.92
Ag (0.5000, 0.5000, 0.0000)  4 Te 2.92
Zr (0.5000, 0.5000, 0.5000)  4 Te 2.73
Rb (0.0000, 0.0000, 0.0000)  4 Te 3.28

Summary:
V	333.5	Å³/f.u.



Q: Which of them is the most stable? A: *1*.



*1*
A relaxed RbZnAg crystal, computed with PBE.

Cell: 5.7214 5.7214 5.7214 Å, 60.00 60.00 60.00°
Last column: nearest neighbours and their distance in Å.
Positions (direct):
Zn (0.7500, 0.7500, 0.7500)  4 Rb 3.50
Ag (0.2500, 0.2500, 0.2500)  4 Rb 3.50
Rb (0.0000, 0.0000, 0.0000)  4 Zn 3.50, 4 Ag 3.50

Summary:
V	132.4	Å³/f.u.



*2*
A relaxed RbZnAg crystal, computed with PBE.

Cell: 5.3217 5.3217 5.3217 Å, 60.00 60.00 60.00°
Last column: nearest neighbours and their distance in Å.
Positions (direct):
Ag (0.0000, 0.0000, 0.0000)  4 Zn 3.26, 4 Rb 3.26
Zn (0.7500, 0.7500, 0.7500)  4 Ag 3.26
Rb (0.2500, 0.2500, 0.2500)  4 Ag 3.26

Summary:
V	106.6	Å³/f.u.



Q: Which of them is the most stable? A: *2*.



*1*
A relaxed RbZrAg crystal, computed with PBE.

Cell: 5.2250 5.2250 5.2250 Å, 60.00 60.00 60.00°
Last column: nearest neighbours and their distance in Å.
Positions (direct):
Ag (0.0000, 0.0000, 0.0000)  4 Zr 3.20, 4 Rb 3.20
Rb (0.2500, 0.2500, 0.2500)  4 Ag 3.20
Zr (0.7500, 0.7500, 0.7500)  4 Ag 3.20

Summary:
V	100.9	Å³/f.u.



*2*
A relaxed RbZrAg crystal, computed with PBE.

Cell: 4.9978 4.9978 4.9978 Å, 60.00 60.00 60.00°
Last column: nearest neighbours and their distance in Å.
Positions (direct):
Zr (0.7500, 0.7500, 0.7500)  4 Rb 3.06
Rb (0.0000, 0.0000, 0.0000)  4 Zr 3.06, 4 Ag 3.06
Ag (0.2500, 0.2500, 0.2500)  4 Rb 3.06

Summary:
V	88.3	Å³/f.u.



Q: Which of them is the most stable? A: *1*.



*1*
A relaxed ScAgSnS3 crystal, computed with PBE.

Cell: 7.3316 7.3316 10.2226 Å, 90.00 90.00 29.92°
Last column: nearest neighbours and their distance in Å.
Positions (direct):
S (0.0449, 0.0449, 0.2500)  2 Sc 2.63, 2 Sn 2.64
S (0.3760, 0.3760, 0.0183)  1 Ag 2.42, 2 Sc 2.59
S (0.6240, 0.6240, 0.9817)  1 Ag 2.42, 2 Sc 2.59
S (0.9551, 0.9551, 0.7500)  2 Sc 2.63, 2 Sn 2.64
S (0.3760, 0.3760, 0.4817)  1 Ag 2.42, 2 Sc 2.59
S (0.6240, 0.6240, 0.5183)  1 Ag 2.42, 2 Sc 2.59
Sc (0.0000, 0.0000, 0.0000)  6 S 2.59-2.63
Sc (0.0000, 0.0000, 0.5000)  6 S 2.59-2.63
Ag (0.6576, 0.6576, 0.7500)  2 S 2.42
Ag (0.3424, 0.3424, 0.2500)  2 S 2.42
Sn (0.6751, 0.6751, 0.2500)  4 S 2.64-2.84
Sn (0.3249, 0.3249, 0.7500)  4 S 2.64-2.84

Summary:
V	137.0	Å³/f.u.



*2*
A relaxed ScAgSnS3 crystal, computed with PBE.

Cell: 8.6220 8.6220 8.2921 Å, 103.42 103.42 25.27°
Last column: nearest neighbours and their distance in Å.
Positions (direct):
Ag (0.4731, 0.4731, 0.7825)  4 S 2.49-2.59
Ag (0.5269, 0.5269, 0.2175)  4 S 2.49-2.59
Sc (0.8347, 0.8347, 0.9132)  6 S 2.60-2.70
Sc (0.1653, 0.1653, 0.0868)  6 S 2.60-2.70
Sn (0.1353, 0.1353, 0.5826)  7 S 2.91-3.21
Sn (0.8647, 0.8647, 0.4174)  7 S 2.91-3.21
S (0.3251, 0.3251, 0.1330)  3 Sc 2.62-2.65
S (0.5000, 0.5000, 0.5000)  2 Ag 2.49
S (0.6851, 0.6851, 0.3085)  1 Ag 2.59, 2 Sc 2.60
S (0.0000, 0.0000, 0.0000)  4 Ag 2.57, 2 Sc 2.70
S (0.6749, 0.6749, 0.8670)  3 Sc 2.62-2.65
S (0.3149, 0.3149, 0.6915)  1 Ag 2.59, 2 Sc 2.60

Summary:
V	127.8	Å³/f.u.



Q: Which of them is the most stable? A: *1*.